Ni3OF5 | PBE with a Hubbard U | optimized geometry

abc: 4.683 5.652 7.785
angles: 85.83 89.36 89.15
Positions (direct):
Ni: 0.491 0.334 0.674
Ni: 0.509 0.666 0.326
Ni: 0.500 0.000 0.000
Ni: 0.999 0.169 0.336
Ni: 0.000 0.500 0.000
Ni: 0.001 0.831 0.664
O: 0.701 0.706 0.100
O: 0.299 0.294 0.900
F: 0.795 0.207 0.106
F: 0.798 0.873 0.435
F: 0.798 0.538 0.768
F: 0.708 0.040 0.769
F: 0.700 0.371 0.441
F: 0.292 0.960 0.231
F: 0.300 0.629 0.559
F: 0.205 0.793 0.894
F: 0.202 0.462 0.232
F: 0.202 0.127 0.565

* ρ: 4.64 g cm⁻³
* total moment: 14.00 μB/cell
* SG: P-1 (2)
* distance to the lowest polymorph of the same formula: 0.006 eV/atom